1.
Si2SnPd8 | PBE-GGA | relaxed

Unit cell a=3.941 b=6.287 c=7.677 alpha=110.25 beta=104.87 gamma=90.00
Positions (direct):
Si  0.811  0.312  0.622
Si  0.189  0.688  0.378
Sn  0.500  0.000  0.000
Pd  0.404  0.523  0.807
Pd  0.678  0.954  0.356
Pd  0.805  0.693  0.609
Pd  0.963  0.251  0.927
Pd  0.195  0.307  0.391
Pd  0.322  0.046  0.644
Pd  0.596  0.477  0.193
Pd  0.037  0.749  0.073

Space-group type: C2/m (12)
E_form (uncorrected): -0.56 eV/atom

***

2.
La2TeRu | PBE-GGA | relaxed

Unit cell a=6.572 b=6.572 c=6.572 alpha=145.98 beta=138.00 gamma=55.11
Positions (direct):
La  0.001  0.001  0.000
La  0.712  0.212  0.500
Ru  0.488  0.488  0.000
Te  0.299  0.799  0.500

Space-group type: Imm2 (44)
E_form (uncorrected): -0.61 eV/atom

***

3.
LaPb3 | PBE-GGA | relaxed

Unit cell a=11.125 b=11.125 c=11.125 alpha=19.10 beta=19.10 gamma=19.10
Positions (direct):
La  0.000  0.000  0.000
Pb  0.752  0.752  0.752
Pb  0.500  0.500  0.500
Pb  0.248  0.248  0.248

DFT formation energy: -2.11 kcal/mol of atoms
Space-group type: R-3m (166)

***

4.
CaLaIn4 | PBE-GGA | relaxed

Unit cell a=6.158 b=6.158 c=6.158 alpha=60.00 beta=60.00 gamma=60.00
Positions (direct):
Ca  0.000  0.000  0.000
La  0.750  0.750  0.750
In  0.875  0.375  0.375
In  0.375  0.375  0.875
In  0.375  0.875  0.375
In  0.375  0.375  0.375

DFT formation energy: -9.00 kcal/mol of atoms
Space-group type: F-43m (216)

***

5.
TlInTe2 | PBE-GGA | relaxed

Unit cell a=8.092 b=8.092 c=7.519 alpha=57.44 beta=57.44 gamma=90.00
Positions (direct):
Tl  0.000  0.000  0.000
Tl  0.750  0.250  0.500
Te  0.567  0.125  0.250
Te  0.183  0.625  0.250
Te  0.375  0.433  0.750
Te  0.875  0.817  0.750
In  0.500  0.500  0.000
In  0.250  0.750  0.500

Space-group type: I-42d (122)
E_form (uncorrected): -0.30 eV/atom

***

6.
HfTiPd2 | PBE-GGA | relaxed

Unit cell a=3.882 b=4.166 c=4.166 alpha=90.00 beta=90.00 gamma=90.00
Positions (direct):
Hf  0.500  0.000  0.000
Pd  0.000  0.000  0.500
Pd  0.000  0.500  0.000
Ti  0.500  0.500  0.500

DFT formation energy: -12.94 kcal/mol of atoms
Space-group type: P4/mmm (123)

***

7.
TlInPt4 | PBE-GGA | relaxed

Unit cell a=5.441 b=5.441 c=5.441 alpha=60.00 beta=60.00 gamma=60.00
Positions (direct):
Tl  0.750  0.750  0.750
In  0.000  0.000  0.000
Pt  0.875  0.375  0.375
Pt  0.375  0.375  0.875
Pt  0.375  0.875  0.375
Pt  0.375  0.375  0.375

DFT formation energy: -2.80 kcal/mol of atoms
Space-group type: F-43m (216)

***

8.
ScUCl6 | PBE-GGA | relaxed

Unit cell a=6.706 b=6.704 c=7.181 alpha=62.14 beta=62.16 gamma=59.96
Last column: magnetic moment on the atom in μB.
Positions (direct):
Sc  0.000  0.000  0.000  0.13
U  0.500  0.500  0.500  2.81
Cl  0.096  0.379  0.761  -0.01
Cl  0.763  0.096  0.761  -0.01
Cl  0.621  0.236  0.239  -0.01
Cl  0.237  0.904  0.239  -0.01
Cl  0.904  0.621  0.239  -0.01
Cl  0.379  0.764  0.761  -0.01

Space-group type: R-3 (148)
E_form (uncorrected): -1.85 eV/atom